This record from Alexandria via LeMat-Bulk describes a relaxed RbWO2 crystal. The functional is GGA+U.

a b c (Å): 7.691 7.691 7.691
angles (deg): 28.39 28.39 28.39
Each line ends with the local moment (μB).
Atoms (fractional coordinates):
O1 0.917 0.917 0.917  -0.06
O2 0.083 0.083 0.083  -0.06
Rb1 0.500 0.500 0.500  0.00
W1 0.000 0.000 0.000  1.93

Calculated values
* uncorrected energy: -5.6105 eV/atom
* energy relative to the lowest polymorph listed for this composition: 233 meV/atom
* total magnetization: 2.12 μB/f.u.

=====

This record from Alexandria via LeMat-Bulk describes a relaxed Rb3WO crystal. The functional is GGA+U.

a b c (Å): 5.745 5.745 5.745
angles (deg): 90.00 90.00 90.00
Each line ends with the local moment (μB).
Atoms (fractional coordinates):
O1 0.000 0.000 0.000  -0.05
Rb1 0.500 0.000 0.000  0.01
Rb2 0.000 0.500 0.000  0.01
Rb3 0.000 0.000 0.500  0.01
W1 0.500 0.500 0.500  3.83

Calculated values
* uncorrected energy: -2.8184 eV/atom
* energy relative to the lowest polymorph listed for this composition: 0 meV/atom
* total magnetization: 5.00 μB/f.u.

=====

This record from Alexandria via LeMat-Bulk describes a relaxed Rb2W3O10 crystal. The functional is GGA+U.

a b c (Å): 6.059 9.812 9.782
angles (deg): 111.81 108.04 90.00
Atoms (fractional coordinates):
W1 0.185 0.010 0.370
W2 0.815 0.990 0.630
W3 0.754 0.000 0.000
W4 0.095 0.568 0.190
W5 0.905 0.432 0.810
W6 0.246 0.000 0.000
Rb1 0.303 0.644 0.606
Rb2 0.594 0.723 0.187
Rb3 0.697 0.356 0.394
Rb4 0.406 0.277 0.813
O1 0.866 0.223 0.732
O2 0.078 0.475 0.707
O3 0.877 0.992 0.202
O4 0.470 0.861 0.940
O5 0.198 0.500 0.000
O6 0.123 0.008 0.798
O7 0.000 0.000 0.500
O8 0.968 0.858 0.936
O9 0.802 0.500 0.000
O10 0.780 0.795 0.560
O11 0.325 0.992 0.202
O12 0.629 0.475 0.707
O13 0.220 0.205 0.440
O14 0.530 0.139 0.060
O15 0.675 0.008 0.798
O16 0.371 0.525 0.293
O17 0.134 0.777 0.268
O18 0.500 0.000 0.500
O19 0.032 0.142 0.064
O20 0.922 0.525 0.293

Calculated values
* uncorrected energy: -6.8171 eV/atom
* total magnetization: 0.00 μB/f.u.

=====

This record from Alexandria via LeMat-Bulk describes a relaxed RbWO2 crystal. The functional is GGA+U.

a b c (Å): 4.323 4.323 4.323
angles (deg): 60.00 60.00 60.00
Each line ends with the local moment (μB).
Atoms (fractional coordinates):
W1 0.500 0.500 0.500  3.02
O1 0.250 0.250 0.250  -0.22
O2 0.750 0.750 0.750  -0.22
Rb1 0.000 0.000 0.000  0.06

Calculated values
* uncorrected energy: -4.5853 eV/atom
* energy relative to the lowest polymorph listed for this composition: 1258 meV/atom
* total magnetization: 3.00 μB/f.u.

=====

This record from Alexandria via LeMat-Bulk describes a relaxed Rb2W2O7 crystal. The functional is GGA+U.

a b c (Å): 3.902 6.270 14.671
angles (deg): 90.00 90.00 90.01
Atoms (fractional coordinates):
O1 0.000 0.224 0.549
O2 0.500 0.802 0.823
O3 0.500 0.198 0.177
O4 0.500 0.085 0.422
O5 0.500 0.500 0.500
O6 0.000 0.724 0.951
O7 0.500 0.585 0.078
O8 0.500 0.915 0.578
O9 0.500 0.698 0.323
O10 0.500 0.302 0.677
O11 0.000 0.276 0.049
O12 0.500 0.415 0.922
O13 0.500 0.000 0.000
O14 0.000 0.776 0.451
Rb1 0.000 0.171 0.827
Rb2 0.000 0.329 0.327
Rb3 0.000 0.671 0.673
Rb4 0.000 0.829 0.173
W1 0.501 0.783 0.440
W2 0.499 0.717 0.940
W3 0.499 0.217 0.560
W4 0.501 0.283 0.060

Calculated values
* uncorrected energy: -6.7148 eV/atom
* energy relative to the lowest polymorph listed for this composition: 0 meV/atom
* total magnetization: 0.00 μB/f.u.

=====

This record from Alexandria via LeMat-Bulk describes a relaxed Rb3WO6 crystal. The functional is GGA+U.

a b c (Å): 6.728 6.728 10.860
angles (deg): 90.00 90.00 120.00
Each line ends with the local moment (μB).
Atoms (fractional coordinates):
O1 0.125 0.717 0.352  0.44
O2 0.409 0.125 0.852  0.44
O3 0.125 0.409 0.148  0.44
O4 0.591 0.875 0.352  0.44
O5 0.717 0.591 0.852  0.44
O6 0.717 0.125 0.648  0.44
O7 0.409 0.283 0.648  0.44
O8 0.591 0.717 0.148  0.44
O9 0.875 0.591 0.648  0.44
O10 0.875 0.283 0.852  0.44
O11 0.283 0.409 0.352  0.44
O12 0.283 0.875 0.148  0.44
Rb1 0.667 0.333 0.087  0.01
Rb2 0.000 0.000 0.000  0.00
Rb3 0.667 0.333 0.413  0.01
Rb4 0.333 0.667 0.587  0.01
Rb5 0.333 0.667 0.913  0.01
Rb6 0.000 0.000 0.500  0.00
W1 0.667 0.333 0.750  -0.23
W2 0.333 0.667 0.250  -0.23

Calculated values
* uncorrected energy: -5.3809 eV/atom
* total magnetization: 3.01 μB/f.u.

=====

This record from Alexandria via LeMat-Bulk describes a relaxed Rb3WO4 crystal. The functional is GGA+U.

a b c (Å): 8.528 9.716 8.921
angles (deg): 90.00 90.00 90.00
Each line ends with the local moment (μB).
Atoms (fractional coordinates):
O1 0.494 0.960 0.750  0.02
O2 0.172 0.937 0.581  0.03
O3 0.720 0.796 0.250  0.02
O4 0.672 0.563 0.581  0.03
O5 0.994 0.540 0.750  0.02
O6 0.006 0.460 0.250  0.02
O7 0.828 0.063 0.081  0.03
O8 0.780 0.296 0.750  0.02
O9 0.672 0.563 0.919  0.03
O10 0.828 0.063 0.419  0.03
O11 0.328 0.437 0.081  0.03
O12 0.328 0.437 0.419  0.03
O13 0.220 0.704 0.250  0.02
O14 0.280 0.204 0.750  0.02
O15 0.506 0.040 0.250  0.02
O16 0.172 0.937 0.919  0.03
Rb1 0.463 0.771 0.483  0.00
Rb2 0.818 0.009 0.750  0.00
Rb3 0.682 0.509 0.250  0.00
Rb4 0.537 0.229 0.517  0.00
Rb5 0.182 0.991 0.250  0.00
Rb6 0.037 0.271 0.983  0.00
Rb7 0.537 0.229 0.983  0.00
Rb8 0.037 0.271 0.517  0.00
Rb9 0.463 0.771 0.017  0.00
Rb10 0.963 0.729 0.483  0.00
Rb11 0.318 0.491 0.750  0.00
Rb12 0.963 0.729 0.017  0.00
W1 0.278 0.008 0.750  0.91
W2 0.778 0.492 0.750  0.91
W3 0.722 0.992 0.250  0.91
W4 0.222 0.508 0.250  0.91

Calculated values
* uncorrected energy: -5.4954 eV/atom
* energy relative to the lowest polymorph listed for this composition: 6 meV/atom
* total magnetization: 1.00 μB/f.u.

=====

This record from Alexandria via LeMat-Bulk describes a relaxed Rb4WO5 crystal. The functional is GGA+U.

a b c (Å): 5.890 6.717 6.717
angles (deg): 78.92 64.00 64.00
Atoms (fractional coordinates):
Rb1 0.223 0.190 0.404
Rb2 0.627 0.596 0.190
Rb3 0.413 0.404 0.810
Rb4 0.818 0.810 0.596
O1 0.929 0.279 0.856
O2 0.064 0.721 0.144
O3 0.378 0.000 0.000
O4 0.785 0.144 0.279
O5 0.208 0.856 0.721
W1 0.066 0.000 0.000

Calculated values
* uncorrected energy: -5.3908 eV/atom
* energy relative to the lowest polymorph listed for this composition: 17 meV/atom
* total magnetization: 0.00 μB/f.u.